Density functional theory data (PBE) for a relaxed BaGeMo2H crystal.

Structure (CIF):
```
data_BaGeMo2H
_chemical_formula_sum 'Ba1 Ge1 Mo2 H1'
_cell_length_a 5.657
_cell_length_b 5.657
_cell_length_c 5.832
_cell_angle_alpha 90.00
_cell_angle_beta 90.00
_cell_angle_gamma 90.00
_space_group_name_H-M_alt 'P 4/m m m'
_space_group_IT_number 123
_space_group_name_Hall '-P 4 2'
loop_
_atom_site_label
_atom_site_type_symbol
_atom_site_fract_x
_atom_site_fract_y
_atom_site_fract_z
Ba1 Ba 0.000 0.000 0.000
Ge1 Ge 0.000 0.000 0.500
Mo1 Mo 0.000 0.500 0.000
H1 H 0.500 0.500 0.500
```

Crystal system: tetragonal
Electronic total energy (eV for the cell shown): -16.1